First-principles (SCAN) data for CaPF3 at its PBEsol-relaxed geometry, as listed in Alexandria via LeMat-Bulk.

Cell: 4.328 4.328 4.328 Å, 90.00 90.00 90.00°
Atoms (fractional coordinates):
Ca 0.000 0.000 0.000
P 0.500 0.500 0.500
F 0.000 0.500 0.500
F 0.500 0.000 0.500
F 0.500 0.500 0.000

Results
Raw total energy in eV/atom: -7.64

***

First-principles (SCAN) data for Ba3SiB at its PBEsol-relaxed geometry, as listed in Alexandria via LeMat-Bulk.

Cell: 5.593 5.593 5.593 Å, 90.00 90.00 90.00°
Atoms (fractional coordinates):
Ba 0.000 0.000 0.500
Ba 0.000 0.500 0.000
Ba 0.500 0.000 0.000
Si 0.500 0.500 0.500
B 0.000 0.000 0.000

Results
Polymorph energy (0 for the lowest one) in eV per atom: 0.000

***

First-principles (SCAN) data for ZnIn2AsP at its PBEsol-relaxed geometry, as listed in Alexandria via LeMat-Bulk.

Cell: 5.036 5.036 4.688 Å, 90.00 90.00 90.00°
Atoms (fractional coordinates):
Zn 0.000 0.000 0.000
In 0.000 0.500 0.000
In 0.500 0.000 0.000
As 0.000 0.000 0.500
P 0.500 0.500 0.500

Results
Energy of formation from the pure elements in kcal/mol of atoms: 15.872

***

First-principles (SCAN) data for Mn3Cr5O16 at its PBEsol-relaxed geometry, as listed in Alexandria via LeMat-Bulk.

Cell: 5.668 5.668 8.667 Å, 90.02 90.02 59.83°
Atoms (fractional coordinates):
Mn 0.000 0.000 0.000
Mn 0.166 0.662 0.498
Mn 0.662 0.166 0.498
Cr 0.162 0.162 0.275
Cr 0.495 0.495 0.774
Cr 0.501 0.995 0.994
Cr 0.664 0.664 0.493
Cr 0.995 0.501 0.994
O 0.162 0.162 0.885
O 0.167 0.657 0.890
O 0.302 0.302 0.125
O 0.308 0.872 0.127
O 0.348 0.348 0.626
O 0.351 0.783 0.626
O 0.489 0.995 0.390
O 0.493 0.493 0.384
O 0.656 0.656 0.892
O 0.657 0.167 0.890
O 0.783 0.351 0.626
O 0.831 0.831 0.606
O 0.832 0.832 0.107
O 0.872 0.308 0.127
O 0.995 0.489 0.390
O 0.996 0.996 0.387

Results
Raw total energy in eV/atom: -12.37

***

First-principles (SCAN) data for Mn3AgIr at its PBEsol-relaxed geometry, as listed in Alexandria via LeMat-Bulk.

Cell: 4.730 4.730 4.730 Å, 90.00 90.00 90.00°
Atoms (fractional coordinates):
Mn 0.000 0.000 0.500
Mn 0.000 0.500 0.000
Mn 0.500 0.000 0.000
Ag 0.500 0.500 0.500
Ir 0.000 0.000 0.000

Results
Energy of formation from the pure elements in kcal/mol of atoms: 11.688

***

First-principles (SCAN) data for MnRe3 at its PBEsol-relaxed geometry, as listed in Alexandria via LeMat-Bulk.

Cell: 2.711 2.711 8.620 Å, 90.00 90.00 120.00°
Atoms (fractional coordinates):
Mn 0.000 0.000 0.000
Re 0.000 0.000 0.500
Re 0.667 0.333 0.238
Re 0.667 0.333 0.762

Results
Energy of formation from the pure elements in kcal/mol of atoms: 2.973

***

First-principles (SCAN) data for Mg2CrAu at its PBEsol-relaxed geometry, as listed in Alexandria via LeMat-Bulk.

Cell: 5.033 5.033 5.033 Å, 131.81 131.81 70.54°
Atoms (fractional coordinates):
Mg 0.000 0.000 0.000
Mg 0.750 0.250 0.500
Cr 0.250 0.750 0.500
Au 0.500 0.500 0.000

Results
Energy of formation from the pure elements in kcal/mol of atoms: -7.206

***

First-principles (SCAN) data for Cs2I4O11 at its PBEsol-relaxed geometry, as listed in Alexandria via LeMat-Bulk.

Cell: 7.264 7.264 13.457 Å, 90.00 90.00 120.00°
Atoms (fractional coordinates):
Cs 0.333 0.667 0.000
Cs 0.333 0.667 0.373
Cs 0.667 0.333 0.500
Cs 0.667 0.333 0.873
I 0.000 0.000 0.445
I 0.000 0.000 0.945
I 0.134 0.333 0.695
I 0.199 0.866 0.695
I 0.333 0.199 0.195
I 0.667 0.801 0.695
I 0.801 0.134 0.195
I 0.866 0.667 0.195
O 0.000 0.000 0.203
O 0.000 0.000 0.703
O 0.052 0.385 0.188
O 0.087 0.254 0.509
O 0.107 0.347 0.828
O 0.167 0.913 0.509
O 0.239 0.893 0.828
O 0.254 0.167 0.009
O 0.333 0.667 0.676
O 0.333 0.948 0.188
O 0.347 0.239 0.328
O 0.385 0.333 0.688
O 0.615 0.667 0.188
O 0.653 0.761 0.828
O 0.667 0.052 0.688
O 0.667 0.333 0.176
O 0.746 0.833 0.509
O 0.761 0.107 0.328
O 0.833 0.087 0.009
O 0.893 0.653 0.328
O 0.913 0.746 0.009
O 0.948 0.615 0.688

Results
Polymorph energy (0 for the lowest one) in eV per atom: 0.003

***

First-principles (SCAN) data for OsRhPb2 at its PBEsol-relaxed geometry, as listed in Alexandria via LeMat-Bulk.

Cell: 5.888 5.888 5.888 Å, 147.89 135.75 55.71°
Atoms (fractional coordinates):
Os 0.000 0.000 0.000
Rh 0.738 0.238 0.500
Pb 0.230 0.730 0.500
Pb 0.500 0.500 0.000

Results
Energy of formation from the pure elements in kcal/mol of atoms: 17.738
Polymorph energy (0 for the lowest one) in eV per atom: 0.081

***

First-principles (SCAN) data for AlSbSe2 at its PBEsol-relaxed geometry, as listed in Alexandria via LeMat-Bulk.

Cell: 3.620 3.620 8.676 Å, 101.86 101.86 59.92°
Atoms (fractional coordinates):
Al 0.000 0.000 0.000
Sb 0.500 0.500 0.500
Se 0.388 0.388 0.168
Se 0.612 0.612 0.832

Results
Polymorph energy (0 for the lowest one) in eV per atom: 0.000

***

First-principles (SCAN) data for YCo2Au at its PBEsol-relaxed geometry, as listed in Alexandria via LeMat-Bulk.

Cell: 3.721 5.041 5.041 Å, 43.57 90.00 90.00°
Atoms (fractional coordinates):
Y 0.000 0.000 0.000
Co 0.000 0.282 0.282
Co 0.500 0.402 0.402
Au 0.500 0.693 0.693

Results
Energy of formation from the pure elements in kcal/mol of atoms: -2.329
Polymorph energy (0 for the lowest one) in eV per atom: 0.023

***

First-principles (SCAN) data for ZnCrCo6 at its PBEsol-relaxed geometry, as listed in Alexandria via LeMat-Bulk.

Cell: 6.035 6.035 9.872 Å, 90.00 90.00 109.46°
Atoms (fractional coordinates):
Zn 0.000 0.000 0.248
Zn 0.000 0.000 0.752
Zn 0.249 0.751 0.500
Zn 0.751 0.249 0.500
Cr 0.254 0.746 0.000
Cr 0.500 0.500 0.253
Cr 0.500 0.500 0.747
Cr 0.746 0.254 0.000
Co 0.000 0.000 0.000
Co 0.000 0.000 0.500
Co 0.127 0.381 0.122
Co 0.127 0.381 0.878
Co 0.130 0.377 0.372
Co 0.130 0.377 0.628
Co 0.253 0.747 0.245
Co 0.253 0.747 0.755
Co 0.377 0.130 0.372
Co 0.377 0.130 0.628
Co 0.381 0.127 0.122
Co 0.381 0.127 0.878
Co 0.500 0.500 0.000
Co 0.500 0.500 0.500
Co 0.619 0.873 0.122
Co 0.619 0.873 0.878
Co 0.623 0.870 0.372
Co 0.623 0.870 0.628
Co 0.747 0.253 0.245
Co 0.747 0.253 0.755
Co 0.870 0.623 0.372
Co 0.870 0.623 0.628
Co 0.873 0.619 0.122
Co 0.873 0.619 0.878

Results
Energy of formation from the pure elements in kcal/mol of atoms: 2.238

***

Total magnetization (computed, μB/atom): 0.00, 0.09, 0.00, 0.79, 2.75, 0.00, 1.12, 0.00, 0.00, 0.00, 0.71, 0.74
Density of states at the Fermi level (computed, states/eV/f.u.): 2.14, 6.46, 2.55, 8.83, 2.51, 3.94, 1.55, 0.00, 1.76, 0.67, 2.50, 6.08